No. 1
{"formula": "Li3NiRh", "functional": "GGA-PBE", "state": "optimized geometry", "formation_enthalpy_0k_ev_per_atom": 0.62, "lattice": [[4.186, 0.000, 0.000], [0.000, 4.186, 0.000], [0.000, 0.000, 4.186]], "species": ["Li", "Li", "Li", "Rh", "Ni"], "fractional_positions": [[0.000, 0.500, 0.000], [0.000, 0.000, 0.500], [0.500, 0.000, 0.000], [0.500, 0.500, 0.500], [0.000, 0.000, 0.000]]}

=====

No. 2
{"formula": "AgHgW2", "functional": "GGA-PBE", "state": "optimized geometry", "formation_enthalpy_0k_ev_per_atom": 0.72, "lattice": [[-1.940, -4.568, 0.061], [0.510, -4.792, -1.185], [2.236, -1.420, 4.650]], "species": ["Ag", "W", "W", "Hg"], "fractional_positions": [[0.499, 0.499, 0.492], [0.752, 0.752, 0.768], [0.998, 0.998, 0.976], [0.251, 0.251, 0.264]]}

=====

No. 3
{"formula": "PuSi4Pt4", "functional": "GGA-PBE", "state": "optimized geometry", "raw_formation_energy_ev_per_atom": -0.644, "lattice": [[-0.322, 5.806, -1.377], [-4.073, -1.222, -4.199], [-6.182, 1.009, 5.702]], "species": ["Si", "Si", "Si", "Si", "Si", "Si", "Si", "Si", "Pt", "Pt", "Pt", "Pt", "Pt", "Pt", "Pt", "Pt", "Pu", "Pu"], "fractional_positions": [[0.000, 0.285, 0.605], [0.215, 0.500, 0.105], [0.285, 0.000, 0.395], [0.500, 0.215, 0.895], [0.500, 0.785, 0.895], [0.785, 0.500, 0.105], [0.715, 0.000, 0.395], [0.000, 0.715, 0.605], [0.500, 0.772, 0.183], [0.272, 0.000, 0.683], [0.000, 0.272, 0.317], [0.000, 0.728, 0.317], [0.500, 0.228, 0.183], [0.228, 0.500, 0.817], [0.728, 0.000, 0.683], [0.772, 0.500, 0.817], [0.000, 0.000, 0.000], [0.500, 0.500, 0.500]]}

=====

No. 4
{"formula": "CrNi2", "functional": "GGA-PBE", "state": "optimized geometry", "formation_enthalpy_0k_ev_per_atom": 0.18, "lattice": [[4.689, 0.000, 0.000], [2.344, 4.061, 0.000], [0.000, 0.000, 7.594]], "species": ["Cr", "Cr", "Cr", "Cr", "Ni", "Ni", "Ni", "Ni", "Ni", "Ni", "Ni", "Ni"], "fractional_positions": [[0.333, 0.333, 0.933], [0.333, 0.333, 0.567], [0.667, 0.667, 0.433], [0.667, 0.667, 0.067], [0.000, 0.000, 0.500], [0.170, 0.170, 0.250], [0.340, 0.830, 0.750], [0.660, 0.170, 0.250], [0.000, 0.000, 0.000], [0.830, 0.830, 0.750], [0.830, 0.340, 0.750], [0.170, 0.660, 0.250]]}

=====

No. 5
{"formula": "Pr3Cu2Pt4", "functional": "GGA-PBE", "state": "optimized geometry", "formation_enthalpy_0k_ev_per_atom": -0.81, "lattice": [[-2.999, 3.180, -0.715], [-5.014, -2.136, -2.191], [-6.034, -1.189, 6.299]], "species": ["Pr", "Pr", "Pr", "Pt", "Pt", "Pt", "Pt", "Cu", "Cu"], "fractional_positions": [[0.663, 0.347, 0.327], [0.000, 0.000, 0.000], [0.337, 0.653, 0.673], [0.287, 0.364, 0.063], [0.713, 0.636, 0.937], [0.935, 0.742, 0.389], [0.065, 0.258, 0.611], [0.383, 0.945, 0.288], [0.617, 0.055, 0.712]]}

=====

No. 6
{"formula": "NbC3F", "functional": "GGA-PBE", "state": "optimized geometry", "raw_formation_energy_ev_per_atom": 2.063, "lattice": [[4.207, 0.000, 0.000], [0.000, 4.207, 0.000], [0.000, 0.000, 4.207]], "species": ["Nb", "C", "C", "C", "F"], "fractional_positions": [[0.000, 0.000, 0.000], [0.500, 0.000, 0.000], [0.000, 0.500, 0.000], [0.000, 0.000, 0.500], [0.500, 0.500, 0.500]]}

=====

No. 7
{"formula": "TmPu2Th", "functional": "GGA-PBE", "state": "optimized geometry", "formation_enthalpy_0k_ev_per_atom": 0.23, "lattice": [[5.468, 0.000, 0.000], [2.734, 4.736, 0.000], [2.734, 1.579, 4.465]], "species": ["Tm", "Th", "Pu", "Pu"], "fractional_positions": [[0.500, 0.500, 0.500], [0.000, 0.000, 0.000], [0.250, 0.250, 0.250], [0.750, 0.750, 0.750]]}

=====

No. 8
{"formula": "Nd5Dy5Er2", "functional": "GGA-PBE", "state": "optimized geometry", "formation_enthalpy_0k_ev_per_atom": 0.02, "lattice": [[-4.469, -2.402, 0.245], [0.795, -7.621, -7.567], [0.019, -4.744, 6.500]], "species": ["Dy", "Dy", "Dy", "Dy", "Dy", "Nd", "Nd", "Nd", "Nd", "Nd", "Er", "Er"], "fractional_positions": [[0.332, 0.253, 0.084], [0.000, 0.500, 0.500], [0.333, 0.000, 0.334], [0.667, 0.000, 0.666], [0.668, 0.747, 0.916], [0.998, 0.252, 0.753], [0.334, 0.748, 0.584], [0.002, 0.748, 0.247], [0.666, 0.252, 0.416], [0.000, 0.000, 0.000], [0.332, 0.501, 0.835], [0.668, 0.499, 0.165]]}

=====

No. 9
{"formula": "BeZn3Sb", "functional": "GGA-PBE", "state": "optimized geometry", "raw_formation_energy_ev_per_atom": 1.007, "lattice": [[-5.012, 1.564, 0.359], [-1.587, -5.005, -0.350], [0.237, -0.441, 5.238]], "species": ["Be", "Zn", "Zn", "Zn", "Sb"], "fractional_positions": [[0.500, 0.500, 0.500], [0.000, 0.500, 0.000], [0.000, 0.000, 0.500], [0.500, 0.000, 0.000], [0.000, 0.000, 0.000]]}

=====

No. 10
{"formula": "La5CdPb6", "functional": "GGA-PBE", "state": "optimized geometry", "formation_enthalpy_0k_ev_per_atom": -0.52, "lattice": [[4.835, 0.002, -1.493], [-1.038, 8.789, -3.349], [0.230, -1.494, 9.375]], "species": ["La", "La", "La", "La", "La", "Pb", "Pb", "Pb", "Pb", "Pb", "Pb", "Cd"], "fractional_positions": [[0.331, 0.331, 0.663], [0.355, 0.855, 0.710], [0.669, 0.669, 0.337], [0.000, 0.500, 0.000], [0.645, 0.145, 0.290], [0.500, 0.742, 0.000], [0.830, 0.578, 0.660], [0.500, 0.258, 0.000], [0.170, 0.422, 0.340], [0.830, 0.082, 0.660], [0.170, 0.918, 0.340], [0.000, 0.000, 0.000]]}

=====

No. 11
{"formula": "AcPaRhO6", "functional": "GGA-PBE", "state": "optimized geometry", "raw_formation_energy_ev_per_atom": -2.411, "lattice": [[-2.116, -1.301, -4.268], [0.624, -5.391, 1.334], [-4.651, 2.723, 1.476]], "species": ["O", "O", "O", "O", "O", "O", "Rh", "Ac", "Pa"], "fractional_positions": [[0.256, 0.274, 0.319], [0.744, 0.045, 0.319], [0.256, 0.681, 0.955], [0.256, 0.045, 0.726], [0.744, 0.274, 0.955], [0.744, 0.681, 0.726], [0.500, 0.000, 0.000], [0.500, 0.667, 0.333], [0.000, 0.333, 0.667]]}

=====

No. 12
{"formula": "Er3Sc2Ag3", "functional": "GGA-PBE", "state": "optimized geometry", "formation_enthalpy_0k_ev_per_atom": -0.23, "lattice": [[3.545, 0.000, 0.000], [0.000, 5.098, 0.000], [-1.773, -2.549, 10.501]], "species": ["Sc", "Sc", "Er", "Er", "Er", "Ag", "Ag", "Ag"], "fractional_positions": [[0.266, 0.766, 0.532], [0.734, 0.234, 0.468], [0.624, 0.624, 0.248], [0.376, 0.376, 0.752], [0.500, 0.000, 0.000], [0.877, 0.877, 0.754], [0.123, 0.123, 0.246], [0.000, 0.500, 0.000]]}

=====

No. 13
{"formula": "NaSr3Al", "functional": "GGA-PBE", "state": "optimized geometry", "formation_enthalpy_0k_ev_per_atom": 0.59, "lattice": [[6.242, 0.000, 0.000], [0.000, 6.242, 0.000], [0.000, 0.000, 6.242]], "species": ["Sr", "Sr", "Sr", "Al", "Na"], "fractional_positions": [[0.500, 0.000, 0.000], [0.000, 0.000, 0.500], [0.000, 0.500, 0.000], [0.500, 0.500, 0.500], [0.000, 0.000, 0.000]]}

=====

No. 14
{"formula": "Dy2NbTl", "functional": "GGA-PBE", "state": "optimized geometry", "formation_enthalpy_0k_ev_per_atom": 0.47, "lattice": [[-1.976, 1.437, 2.170], [-3.188, -0.720, 0.035], [0.266, -8.202, 8.133]], "species": ["Nb", "Dy", "Dy", "Tl"], "fractional_positions": [[0.000, 0.000, 0.000], [0.086, 0.086, 0.742], [0.914, 0.914, 0.258], [0.500, 0.500, 0.500]]}

=====

No. 15
{"formula": "Ba2SrCd12Ag3", "functional": "GGA-PBE", "state": "optimized geometry", "formation_enthalpy_0k_ev_per_atom": 0.07, "lattice": [[9.553, 0.012, 0.009], [4.728, 8.300, 0.009], [4.728, 2.752, 7.831]], "species": ["Cd", "Cd", "Cd", "Cd", "Cd", "Cd", "Cd", "Cd", "Cd", "Cd", "Cd", "Cd", "Ba", "Ba", "Sr", "Ag", "Ag", "Ag"], "fractional_positions": [[0.325, 0.325, 0.849], [0.675, 0.151, 0.675], [0.832, 0.832, 0.495], [0.832, 0.495, 0.832], [0.168, 0.168, 0.505], [0.849, 0.325, 0.325], [0.168, 0.505, 0.168], [0.325, 0.849, 0.325], [0.495, 0.832, 0.832], [0.151, 0.675, 0.675], [0.505, 0.168, 0.168], [0.675, 0.675, 0.151], [0.406, 0.406, 0.406], [0.594, 0.594, 0.594], [0.000, 0.000, 0.000], [0.500, 0.000, 0.000], [0.000, 0.000, 0.500], [0.000, 0.500, 0.000]]}

=====

No. 16
{"formula": "TaVOsW2", "functional": "GGA-PBE", "state": "optimized geometry", "formation_enthalpy_0k_ev_per_atom": 2.37, "lattice": [[4.706, 0.000, 0.000], [0.000, 4.407, 0.000], [0.000, 0.000, 4.706]], "species": ["W", "W", "V", "Ta", "Os"], "fractional_positions": [[0.000, 0.000, 0.500], [0.500, 0.000, 0.000], [0.000, 0.500, 0.000], [0.000, 0.000, 0.000], [0.500, 0.500, 0.500]]}

=====

No. 17
{"formula": "Ac2Sn3BiIr4", "functional": "GGA-PBE", "state": "optimized geometry", "formation_enthalpy_0k_ev_per_atom": -0.51, "lattice": [[-1.426, 0.969, -4.264], [-4.322, 0.364, 1.529], [1.592, 10.812, 1.925]], "species": ["Ir", "Ir", "Ir", "Ir", "Sn", "Sn", "Sn", "Ac", "Ac", "Bi"], "fractional_positions": [[0.500, 0.000, 0.637], [0.000, 0.500, 0.363], [0.500, 0.500, 0.000], [0.000, 0.000, 0.000], [0.500, 0.000, 0.874], [0.000, 0.500, 0.126], [0.000, 0.000, 0.500], [0.000, 0.500, 0.755], [0.500, 0.000, 0.245], [0.500, 0.500, 0.500]]}

=====

No. 18
{"formula": "Be2Te2Pb", "functional": "GGA-PBE", "state": "optimized geometry", "raw_formation_energy_ev_per_atom": 0.312, "lattice": [[-1.646, -4.430, -1.945], [4.410, -2.218, 1.322], [-0.306, -4.387, 3.538]], "species": ["Te", "Te", "Pb", "Be", "Be"], "fractional_positions": [[0.750, 0.250, 0.500], [0.250, 0.750, 0.500], [0.000, 0.000, 0.000], [0.630, 0.630, 0.740], [0.370, 0.370, 0.260]]}

=====

No. 19
{"formula": "PmY8Ho5", "functional": "GGA-PBE", "state": "optimized geometry", "formation_enthalpy_0k_ev_per_atom": 0.25, "lattice": [[0.973, -3.229, -7.746], [2.338, -5.519, 5.955], [-8.195, 1.948, 0.652]], "species": ["Ho", "Ho", "Ho", "Ho", "Ho", "Y", "Y", "Y", "Y", "Y", "Y", "Y", "Y", "Pm"], "fractional_positions": [[0.816, 0.678, 0.716], [0.500, 0.000, 0.500], [0.863, 0.900, 0.184], [0.038, 0.322, 0.137], [0.284, 0.100, 0.962], [0.528, 0.606, 0.277], [0.573, 0.912, 0.832], [0.921, 0.088, 0.662], [0.338, 0.259, 0.427], [0.723, 0.250, 0.329], [0.079, 0.750, 0.472], [0.168, 0.741, 0.079], [0.671, 0.394, 0.921], [0.250, 0.500, 0.750]]}

=====

No. 20
{"formula": "TeMo3Pt", "functional": "GGA-PBE", "state": "optimized geometry", "raw_formation_energy_ev_per_atom": 1.596, "lattice": [[-4.443, -0.172, -1.920], [-0.812, -4.208, 2.255], [-1.748, 2.391, 3.832]], "species": ["Te", "Pt", "Mo", "Mo", "Mo"], "fractional_positions": [[0.500, 0.500, 0.500], [0.000, 0.000, 0.000], [0.500, 0.000, 0.000], [0.000, 0.000, 0.500], [0.000, 0.500, 0.000]]}